Tb6Er2Tm5 | GGA-PBE | optimized geometry

```
Tb6Er2Tm5
1.0
3.550 0.000 0.000
0.000 11.517 0.000
0.000 0.000 19.999
Tm Tb Er
10 12 4
direct
0.500 0.407 0.726
0.500 0.593 0.274
0.500 0.302 0.448
0.500 0.698 0.552
0.500 0.093 0.226
0.500 0.802 0.052
0.500 0.198 0.948
0.500 0.000 0.500
0.500 0.907 0.774
0.500 0.500 0.000
0.000 0.559 0.419
0.500 0.171 0.634
0.000 0.916 0.632
0.000 0.941 0.919
0.500 0.671 0.866
0.000 0.084 0.368
0.500 0.829 0.366
0.000 0.416 0.868
0.000 0.059 0.081
0.000 0.584 0.132
0.500 0.329 0.134
0.000 0.441 0.581
0.000 0.665 0.710
0.000 0.335 0.290
0.000 0.835 0.210
0.000 0.165 0.790
```

Calculated values
- formation energy (eV/f.u.) = 1.3